Record 1
CsRbRhF6: relaxed, GGA-PBE.

It has space group P3m1 (No. 156), with a = 6.1804 Å, b = 6.1804 Å, c = 5.0877 Å, α = 90.00°, β = 90.00° and γ = 120.00°. Symmetry generates all atoms from Cs at (0.0000, 0.0000, 0.0000), Rb at (0.3333, 0.6667, 0.4274), Rh at (0.6667, 0.3333, 0.6975), F at (0.3634, 0.1817, 0.4828) and F at (0.5138, 0.0277, 0.9099).

Its total magnetization is 1.0 μB/cell. The calculation puts the formation energy (no corrections) at -2.218 eV per atom.

---

Record 2
La5H: relaxed, GGA-PBE.

It has space group P6/mmm (No. 191), with a = 6.4688 Å, b = 6.4688 Å, c = 6.0770 Å, α = 90.00°, β = 90.00° and γ = 120.00°. Symmetry generates all atoms from La at (0.0000, 0.5000, 0.0000), La at (0.3333, 0.6667, 0.5000) and H at (0.0000, 0.0000, 0.5000).

Its total magnetization is 0.0 μB/cell. The value obtained for the calculated total energy is -22.8 eV for the cell shown.

---

Record 3
BaNaRhPb2: relaxed, GGA-PBE.

It has space group P4/mmm (No. 123), with a = 5.426 Å, b = 5.426 Å, c = 5.804 Å, α = 90.00°, β = 90.00° and γ = 90.00°. Symmetry generates all atoms from Ba at (0.000, 0.000, 0.000), Na at (0.500, 0.500, 0.000), Rh at (0.000, 0.000, 0.500) and Pb at (0.000, 0.500, 0.500).

The value obtained for the formation energy is -0.7 eV/f.u. Its total magnetization is 0.0 μB/cell.

---

Record 4
YTlPdPb: relaxed, GGA-PBE.

It has space group F-43m (No. 216), with a = 7.279 Å, b = 7.279 Å, c = 7.279 Å, α = 90.00°, β = 90.00° and γ = 90.00°. Symmetry generates all atoms from Y at (0.000, 0.000, 0.000), Tl at (0.250, 0.250, 0.250), Pd at (0.250, 0.250, 0.750) and Pb at (0.000, 0.000, 0.500).

The value obtained for the formation energy is -1.4 eV/f.u. Its total magnetization is 0.0 μB/cell.